! PBE CdPCl, relaxed; values from VASP
! energy relative to the elements, uncorrected: -0.24 eV per formula unit
! space group: I4mm
! relative energy among the computed polymorphs: 0.439 eV/atom
&SYSTEM
  ibrav = 0, nat = 6, ntyp = 3
/
ATOMIC_SPECIES
Cd 112.41 Cd.upf
P 30.97 P.upf
Cl 35.45 Cl.upf
ATOMIC_POSITIONS crystal
Cd 0.000 0.000 0.000
Cd 0.500 0.500 0.500
P 0.000 0.000 0.480
P 0.500 0.500 0.980
Cl 0.000 0.000 0.282
Cl 0.500 0.500 0.782
CELL_PARAMETERS angstrom
3.860 0.000 0.000
0.000 3.860 0.000
0.000 0.000 10.905